DFT (GGA+U) results for a relaxed BaHf2MoO8 crystal.

Geometry as POSCAR:
```
BaHf2MoO8
1.0
4.087 -3.263 0.000
4.087 3.263 0.000
-1.491 0.000 7.128
Ba Hf Mo O
1 2 1 8
Direct
0.000 0.000 0.000
0.446 0.446 0.773
0.554 0.554 0.227
0.000 0.000 0.500
0.210 0.780 0.691
0.220 0.790 0.309
0.235 0.235 0.567
0.342 0.342 0.995
0.658 0.658 0.005
0.765 0.765 0.433
0.780 0.210 0.691
0.790 0.220 0.309
```

Summary:
ρ ... 6.3 Mg/m³
Symmetry ... C2/m, No. 12
VASP energy ... -8.379 eV per atom
Spin magnetization ... 0.00 μB/f.u.